Arrangement 1

{"formula": "CeAlCo4", "functional": "PBEsol", "state": "relaxed", "n_ef_per_ev_fu": 9.0, "rho_g_cm3": 8.2, "vol_a3_per_cell": 81.8, "space_group": "Cmmm (65)", "lattice_angstrom": [[2.4645, -4.1316, 0.0000], [2.4645, 4.1316, 0.0000], [0.0000, 0.0000, 4.0145]], "species": ["Ce", "Al", "Co", "Co", "Co", "Co"], "fractional_positions": [[0.0000, 0.0000, 0.0000], [0.5000, 0.5000, 0.5000], [0.0000, 0.5000, 0.5000], [0.3042, 0.6958, 0.0000], [0.5000, 0.0000, 0.5000], [0.6958, 0.3042, 0.0000]]}

Arrangement 2

{"formula": "CeAlCo4", "functional": "PBEsol", "state": "relaxed", "n_ef_per_ev_fu": 8.9, "rho_g_cm3": 8.2, "vol_a3_per_cell": 82.1, "space_group": "P-6m2 (187)", "lattice_angstrom": [[4.9773, 0.0000, 0.0000], [-2.4886, 4.3104, 0.0000], [0.0000, 0.0000, 3.8248]], "species": ["Ce", "Al", "Co", "Co", "Co", "Co"], "fractional_positions": [[0.0000, 0.0000, 0.0000], [0.6667, 0.3333, 0.0000], [0.0078, 0.5039, 0.5000], [0.3333, 0.6667, 0.0000], [0.4961, 0.5039, 0.5000], [0.4961, 0.9922, 0.5000]]}

Stability summary: most stable arrangement 1, least stable arrangement 2.

Arrangement 1

{"formula": "Al3Cl", "functional": "PBEsol", "state": "relaxed", "n_ef_per_ev_fu": 1.5, "rho_g_cm3": 2.6, "vol_a3_per_cell": 150.1, "space_group": "Pmmn (59)", "lattice_angstrom": [[5.2190, 0.0000, 0.0000], [0.0000, 5.5103, 0.0000], [0.0000, 0.0000, 5.2183]], "species": ["Al", "Al", "Al", "Al", "Al", "Al", "Cl", "Cl"], "fractional_positions": [[0.2500, 0.9999, 0.2441], [0.2500, 0.2500, 0.7475], [0.2500, 0.5001, 0.2441], [0.7500, 0.0001, 0.7559], [0.7500, 0.4999, 0.7559], [0.7500, 0.7500, 0.2525], [0.2500, 0.7500, 0.7432], [0.7500, 0.2500, 0.2568]]}

Arrangement 2

{"formula": "Al3Cl", "functional": "PBEsol", "state": "relaxed", "n_ef_per_ev_fu": 1.3, "rho_g_cm3": 2.6, "vol_a3_per_cell": 73.7, "space_group": "I4/mmm (139)", "lattice_angstrom": [[-2.2136, 2.2136, 3.7616], [2.2136, -2.2136, 3.7616], [2.2136, 2.2136, -3.7616]], "species": ["Al", "Al", "Al", "Cl"], "fractional_positions": [[0.0000, 0.0000, 0.0000], [0.2500, 0.7500, 0.5000], [0.7500, 0.2500, 0.5000], [0.5000, 0.5000, 0.0000]]}

Arrangement 3

{"formula": "Al3Cl", "functional": "PBEsol", "state": "relaxed", "n_ef_per_ev_fu": 1.1, "rho_g_cm3": 2.5, "vol_a3_per_cell": 156.2, "space_group": "Cmcm (63)", "lattice_angstrom": [[3.8133, -4.1125, 0.0000], [3.8133, 4.1125, 0.0000], [0.0000, 0.0000, 4.9798]], "species": ["Al", "Al", "Al", "Al", "Al", "Al", "Cl", "Cl"], "fractional_positions": [[0.0047, 0.3958, 0.7500], [0.0910, 0.9090, 0.7500], [0.3958, 0.0047, 0.2500], [0.6042, 0.9953, 0.7500], [0.9090, 0.0910, 0.2500], [0.9953, 0.6042, 0.2500], [0.4078, 0.5922, 0.2500], [0.5922, 0.4078, 0.7500]]}

Arrangement 4

{"formula": "Al3Cl", "functional": "PBEsol", "state": "relaxed", "n_ef_per_ev_fu": 2.0, "rho_g_cm3": 2.5, "vol_a3_per_cell": 78.1, "space_group": "Pm-3m (221)", "lattice_angstrom": [[4.2745, 0.0000, 0.0000], [0.0000, 4.2745, 0.0000], [0.0000, 0.0000, 4.2745]], "species": ["Al", "Al", "Al", "Cl"], "fractional_positions": [[0.0000, 0.0000, 0.5000], [0.0000, 0.5000, 0.0000], [0.5000, 0.0000, 0.0000], [0.5000, 0.5000, 0.5000]]}

Stability summary: most stable arrangement 3, least stable arrangement 4.

Arrangement 1

{"formula": "Al2CoCl", "functional": "PBEsol", "state": "relaxed", "n_ef_per_ev_fu": 3.9, "rho_g_cm3": 4.0, "vol_a3_per_cell": 60.9, "space_group": "Pmmm (47)", "lattice_angstrom": [[2.8090, 0.0000, 0.0000], [0.0000, 4.5753, 0.0000], [0.0000, 0.0000, 4.7350]], "species": ["Al", "Al", "Co", "Cl"], "fractional_positions": [[0.0000, 0.0000, 0.0000], [0.5000, 0.0000, 0.5000], [0.0000, 0.5000, 0.5000], [0.5000, 0.5000, 0.0000]]}

Arrangement 2

{"formula": "Al2CoCl", "functional": "PBEsol", "state": "relaxed", "n_ef_per_ev_fu": 2.4, "rho_g_cm3": 3.9, "vol_a3_per_cell": 62.5, "space_group": "C2/m (12)", "lattice_angstrom": [[6.0347, -1.3728, 0.0000], [6.0347, 1.3728, 0.0000], [-1.2618, 0.0000, 3.7710]], "species": ["Al", "Al", "Co", "Cl"], "fractional_positions": [[0.1829, 0.1829, 0.1851], [0.8171, 0.8171, 0.8149], [0.5000, 0.5000, 0.0000], [0.0000, 0.0000, 0.5000]]}

Stability summary: most stable arrangement 2, least stable arrangement 1.

Arrangement 1

{"formula": "Al2CrCl", "functional": "PBEsol", "state": "relaxed", "n_ef_per_ev_fu": 2.4, "rho_g_cm3": 3.6, "vol_a3_per_cell": 65.7, "space_group": "Immm (71)", "lattice_angstrom": [[-1.5118, 2.4410, 4.4530], [1.5118, -2.4410, 4.4530], [1.5118, 2.4410, -4.4530]], "species": ["Al", "Al", "Cr", "Cl"], "fractional_positions": [[0.2463, 0.2463, 0.0000], [0.7537, 0.7537, 0.0000], [0.0000, 0.5000, 0.5000], [0.5000, 0.0000, 0.5000]]}

Arrangement 2

{"formula": "Al2CrCl", "functional": "PBEsol", "state": "relaxed", "n_ef_per_ev_fu": 3.2, "rho_g_cm3": 3.5, "vol_a3_per_cell": 66.7, "space_group": "P4mm (99)", "lattice_angstrom": [[2.8513, 0.0000, 0.0000], [0.0000, 2.8513, 0.0000], [0.0000, 0.0000, 8.2029]], "species": ["Al", "Al", "Cr", "Cl"], "fractional_positions": [[0.0000, 0.0000, 0.0000], [0.5000, 0.5000, 0.2502], [0.5000, 0.5000, 0.7881], [0.0000, 0.0000, 0.6136]]}

Stability summary: most stable arrangement 2, least stable arrangement 1.

Arrangement 1

{"formula": "AlFe2Cl", "functional": "PBEsol", "state": "relaxed", "n_ef_per_ev_fu": 2.4, "rho_g_cm3": 4.2, "vol_a3_per_cell": 68.3, "space_group": "C2/m (12)", "lattice_angstrom": [[4.2169, -1.4327, 0.0000], [4.2169, 1.4327, 0.0000], [-4.1226, 0.0000, 5.6523]], "species": ["Al", "Fe", "Fe", "Cl"], "fractional_positions": [[0.0000, 0.0000, 0.0000], [0.3489, 0.3489, 0.1534], [0.6511, 0.6511, 0.8466], [0.0000, 0.0000, 0.5000]]}

Arrangement 2

{"formula": "AlFe2Cl", "functional": "PBEsol", "state": "relaxed", "n_ef_per_ev_fu": 2.7, "rho_g_cm3": 5.3, "vol_a3_per_cell": 54.6, "space_group": "C2/m (12)", "lattice_angstrom": [[2.5910, -4.0395, 0.0000], [2.5910, 4.0395, 0.0000], [-0.9831, 0.0000, 2.6061]], "species": ["Al", "Fe", "Fe", "Cl"], "fractional_positions": [[0.0000, 0.0000, 0.0000], [0.0000, 0.5000, 0.5000], [0.5000, 0.0000, 0.5000], [0.5000, 0.5000, 0.0000]]}

Stability summary: most stable arrangement 1, least stable arrangement 2.

Arrangement 1

{"formula": "Al2FeCl", "functional": "PBEsol", "state": "relaxed", "n_ef_per_ev_fu": 2.7, "rho_g_cm3": 3.8, "vol_a3_per_cell": 62.7, "space_group": "P4mm (99)", "lattice_angstrom": [[2.9101, 0.0000, 0.0000], [0.0000, 2.9101, 0.0000], [0.0000, 0.0000, 7.4049]], "species": ["Al", "Al", "Fe", "Cl"], "fractional_positions": [[0.0000, 0.0000, 0.0000], [0.5000, 0.5000, 0.2585], [0.5000, 0.5000, 0.7928], [0.0000, 0.0000, 0.5912]]}

Arrangement 2

{"formula": "Al2FeCl", "functional": "PBEsol", "state": "relaxed", "n_ef_per_ev_fu": 3.5, "rho_g_cm3": 3.6, "vol_a3_per_cell": 67.8, "space_group": "I-4m2 (119)", "lattice_angstrom": [[-1.7988, 1.7988, 5.2414], [1.7988, -1.7988, 5.2414], [1.7988, 1.7988, -5.2414]], "species": ["Al", "Al", "Fe", "Cl"], "fractional_positions": [[0.0000, 0.0000, 0.0000], [0.7500, 0.2500, 0.5000], [0.2500, 0.7500, 0.5000], [0.5000, 0.5000, 0.0000]]}

Arrangement 3

{"formula": "Al2FeCl", "functional": "PBEsol", "state": "relaxed", "n_ef_per_ev_fu": 1.7, "rho_g_cm3": 3.5, "vol_a3_per_cell": 68.6, "space_group": "R3m (160)", "lattice_angstrom": [[1.4600, 0.8429, 9.2863], [-1.4600, 0.8429, 9.2863], [0.0000, -1.6858, 9.2863]], "species": ["Al", "Al", "Fe", "Cl"], "fractional_positions": [[0.0000, 0.0000, 0.0000], [0.2499, 0.2499, 0.2499], [0.7369, 0.7369, 0.7369], [0.4601, 0.4601, 0.4601]]}

Stability summary: most stable arrangement 3, least stable arrangement 2.

Arrangement 1

{"formula": "Al2HgCl", "functional": "PBEsol", "state": "relaxed", "n_ef_per_ev_fu": 3.4, "rho_g_cm3": 5.7, "vol_a3_per_cell": 84.2, "space_group": "F-43m (216)", "lattice_angstrom": [[0.0000, 3.4784, 3.4784], [3.4784, 0.0000, 3.4784], [3.4784, 3.4784, 0.0000]], "species": ["Al", "Al", "Hg", "Cl"], "fractional_positions": [[0.0000, 0.0000, 0.0000], [0.2500, 0.2500, 0.2500], [0.7500, 0.7500, 0.7500], [0.5000, 0.5000, 0.5000]]}

Arrangement 2

{"formula": "Al2HgCl", "functional": "PBEsol", "state": "relaxed", "n_ef_per_ev_fu": 2.1, "rho_g_cm3": 4.5, "vol_a3_per_cell": 215.0, "space_group": "I-42d (122)", "lattice_angstrom": [[-2.9252, 2.9252, 6.2822], [2.9252, -2.9252, 6.2822], [2.9252, 2.9252, -6.2822]], "species": ["Al", "Al", "Al", "Al", "Hg", "Hg", "Cl", "Cl"], "fractional_positions": [[0.1117, 0.6250, 0.9867], [0.3750, 0.3617, 0.4867], [0.6383, 0.1250, 0.0133], [0.8750, 0.8883, 0.5133], [0.0000, 0.0000, 0.0000], [0.7500, 0.2500, 0.5000], [0.2500, 0.7500, 0.5000], [0.5000, 0.5000, 0.0000]]}

Arrangement 3

{"formula": "Al2HgCl", "functional": "PBEsol", "state": "relaxed", "n_ef_per_ev_fu": 1.4, "rho_g_cm3": 5.9, "vol_a3_per_cell": 81.5, "space_group": "Imm2 (44)", "lattice_angstrom": [[-1.4682, 2.2764, 6.0997], [1.4682, -2.2764, 6.0997], [1.4682, 2.2764, -6.0997]], "species": ["Al", "Al", "Hg", "Cl"], "fractional_positions": [[0.0000, 0.0000, 0.0000], [0.8024, 0.3024, 0.5000], [0.5963, 0.5963, 0.0000], [0.3084, 0.8084, 0.5000]]}

Arrangement 4

{"formula": "Al2HgCl", "functional": "PBEsol", "state": "relaxed", "n_ef_per_ev_fu": 1.1, "rho_g_cm3": 6.1, "vol_a3_per_cell": 78.4, "space_group": "R-3m (166)", "lattice_angstrom": [[1.5894, 0.9176, 8.9640], [-1.5894, 0.9176, 8.9640], [0.0000, -1.8352, 8.9640]], "species": ["Al", "Al", "Hg", "Cl"], "fractional_positions": [[0.2449, 0.2449, 0.2449], [0.7551, 0.7551, 0.7551], [0.0000, 0.0000, 0.0000], [0.5000, 0.5000, 0.5000]]}

Stability summary: most stable arrangement 3, least stable arrangement 1.

Arrangement 1

{"formula": "AlInCl2", "functional": "PBEsol", "state": "relaxed", "n_ef_per_ev_fu": 0.4, "rho_g_cm3": 3.9, "vol_a3_per_cell": 91.4, "space_group": "Pmmm (47)", "lattice_angstrom": [[3.1611, 0.0000, 0.0000], [0.0000, 3.8664, 0.0000], [0.0000, 0.0000, 7.4793]], "species": ["Al", "In", "Cl", "Cl"], "fractional_positions": [[0.0000, 0.0000, 0.0000], [0.5000, 0.0000, 0.5000], [0.0000, 0.5000, 0.2350], [0.0000, 0.5000, 0.7650]]}

Arrangement 2

{"formula": "AlInCl2", "functional": "PBEsol", "state": "relaxed", "n_ef_per_ev_fu": 0.0, "rho_g_cm3": 3.4, "vol_a3_per_cell": 104.8, "space_group": "Pm (6)", "lattice_angstrom": [[5.6193, 0.0000, 0.0000], [0.0000, 3.3370, 0.0000], [-1.2910, 0.0000, 5.5894]], "species": ["Al", "In", "Cl", "Cl"], "fractional_positions": [[0.0000, 0.0000, 0.0000], [0.6399, 0.5000, 0.6305], [0.0067, 0.0000, 0.3892], [0.3098, 0.5000, 0.0094]]}

Arrangement 3

{"formula": "AlInCl2", "functional": "PBEsol", "state": "relaxed", "n_ef_per_ev_fu": 0.4, "rho_g_cm3": 3.4, "vol_a3_per_cell": 102.7, "space_group": "Imm2 (44)", "lattice_angstrom": [[-1.6538, 2.4109, 6.4399], [1.6538, -2.4109, 6.4399], [1.6538, 2.4109, -6.4399]], "species": ["Al", "In", "Cl", "Cl"], "fractional_positions": [[0.0000, 0.0000, 0.0000], [0.8067, 0.3067, 0.5000], [0.1366, 0.6366, 0.5000], [0.4517, 0.4517, 0.0000]]}

Stability summary: most stable arrangement 2, least stable arrangement 1.

Arrangement 1

{"formula": "LiAlCl2", "functional": "PBEsol", "state": "relaxed", "rho_g_cm3": 2.0, "vol_a3_per_cell": 86.9, "space_group": "Pm (6)", "lattice_angstrom": [[5.2026, 0.0000, 0.0000], [0.0000, 3.3808, 0.0000], [-2.5853, 0.0000, 4.9409]], "species": ["Li", "Al", "Cl", "Cl"], "fractional_positions": [[0.0000, 0.0000, 0.0000], [0.5327, 0.5000, 0.3207], [0.6461, 0.5000, 0.7811], [0.9150, 0.0000, 0.4164]]}

Arrangement 2

{"formula": "LiAlCl2", "functional": "PBEsol", "state": "relaxed", "rho_g_cm3": 1.7, "vol_a3_per_cell": 103.1, "space_group": "Cm (8)", "lattice_angstrom": [[5.7732, -1.7046, 0.0000], [5.7732, 1.7046, 0.0000], [-2.0200, 0.0000, 5.2389]], "species": ["Li", "Al", "Cl", "Cl"], "fractional_positions": [[0.0000, 0.0000, 0.0000], [0.1549, 0.1549, 0.7126], [0.3635, 0.3635, 0.7559], [0.6074, 0.6074, 0.3535]]}

Stability summary: most stable arrangement 1, least stable arrangement 2.

Arrangement 1

{"formula": "MgAl2Cl", "functional": "PBEsol", "state": "relaxed", "n_ef_per_ev_fu": 1.1, "rho_g_cm3": 2.3, "vol_a3_per_cell": 83.3, "space_group": "P4/mmm (123)", "lattice_angstrom": [[3.7485, 0.0000, 0.0000], [0.0000, 3.7485, 0.0000], [0.0000, 0.0000, 5.9287]], "species": ["Mg", "Al", "Al", "Cl"], "fractional_positions": [[0.0000, 0.0000, 0.0000], [0.0000, 0.5000, 0.5000], [0.5000, 0.0000, 0.5000], [0.5000, 0.5000, 0.0000]]}

Arrangement 2

{"formula": "MgAl2Cl", "functional": "PBEsol", "state": "relaxed", "n_ef_per_ev_fu": 3.3, "rho_g_cm3": 2.4, "vol_a3_per_cell": 79.9, "space_group": "I-4m2 (119)", "lattice_angstrom": [[-2.2618, 2.2618, 3.9040], [2.2618, -2.2618, 3.9040], [2.2618, 2.2618, -3.9040]], "species": ["Mg", "Al", "Al", "Cl"], "fractional_positions": [[0.0000, 0.0000, 0.0000], [0.5000, 0.5000, 0.0000], [0.7500, 0.2500, 0.5000], [0.2500, 0.7500, 0.5000]]}

Stability summary: most stable arrangement 1, least stable arrangement 2.

Arrangement 1

{"formula": "MnAl2Cl", "functional": "PBEsol", "state": "relaxed", "n_ef_per_ev_fu": 2.4, "rho_g_cm3": 3.7, "vol_a3_per_cell": 65.5, "space_group": "Immm (71)", "lattice_angstrom": [[-1.5001, 2.4510, 4.4538], [1.5001, -2.4510, 4.4538], [1.5001, 2.4510, -4.4538]], "species": ["Mn", "Al", "Al", "Cl"], "fractional_positions": [[0.0000, 0.0000, 0.0000], [0.2431, 0.7431, 0.5000], [0.7569, 0.2569, 0.5000], [0.5000, 0.5000, 0.0000]]}

Arrangement 2

{"formula": "MnAl2Cl", "functional": "PBEsol", "state": "relaxed", "n_ef_per_ev_fu": 1.2, "rho_g_cm3": 4.0, "vol_a3_per_cell": 60.5, "space_group": "Cm (8)", "lattice_angstrom": [[4.7781, -1.4141, 0.0000], [4.7781, 1.4141, 0.0000], [-1.2516, 0.0000, 4.4795]], "species": ["Mn", "Al", "Al", "Cl"], "fractional_positions": [[0.0000, 0.0000, 0.0000], [0.2745, 0.2745, 0.9026], [0.4798, 0.4798, 0.5373], [0.6748, 0.6748, 0.3212]]}

Stability summary: most stable arrangement 2, least stable arrangement 1.

Arrangement 1

{"formula": "AlMoCl2", "functional": "PBEsol", "state": "relaxed", "n_ef_per_ev_fu": 4.0, "rho_g_cm3": 4.4, "vol_a3_per_cell": 72.7, "space_group": "P4/mmm (123)", "lattice_angstrom": [[2.9621, 0.0000, 0.0000], [0.0000, 2.9621, 0.0000], [0.0000, 0.0000, 8.2884]], "species": ["Al", "Mo", "Cl", "Cl"], "fractional_positions": [[0.0000, 0.0000, 0.0000], [0.0000, 0.0000, 0.5000], [0.5000, 0.5000, 0.3211], [0.5000, 0.5000, 0.6789]]}

Arrangement 2

{"formula": "AlMoCl2", "functional": "PBEsol", "state": "relaxed", "n_ef_per_ev_fu": 2.8, "rho_g_cm3": 3.6, "vol_a3_per_cell": 88.9, "space_group": "Cm (8)", "lattice_angstrom": [[4.7515, -1.4784, 0.0000], [4.7515, 1.4784, 0.0000], [-1.7914, 0.0000, 6.3301]], "species": ["Al", "Mo", "Cl", "Cl"], "fractional_positions": [[0.0000, 0.0000, 0.0000], [0.7483, 0.7483, 0.0840], [0.1459, 0.1459, 0.7660], [0.3341, 0.3341, 0.3734]]}

Stability summary: most stable arrangement 2, least stable arrangement 1.